Entry 1:
Crystalline Sn5Ir2Rh2 at its relaxed geometry, computed with PBE.

Summary:
SG   Ima2
DOS(E_F)   4.54 states/eV/f.u.

abc: 9.138 9.138 9.138
angles: 63.89 136.07 136.04
Fractional coordinates of all 18 atoms:
Sn (0.165, 0.070, 0.235)
Sn (0.165, 0.430, 0.595)
Sn (0.194, 0.098, 0.596)
Sn (0.503, 0.598, 0.404)
Sn (0.517, 0.025, 0.180)
Sn (0.517, 0.837, 0.992)
Sn (0.835, 0.570, 0.405)
Sn (0.835, 0.930, 0.765)
Sn (0.845, 0.337, 0.820)
Sn (0.845, 0.525, 0.008)
Ir (0.015, 0.747, 0.768)
Ir (0.681, 0.181, 0.500)
Ir (0.681, 0.681, 0.000)
Ir (0.980, 0.247, 0.232)
Rh (0.323, 0.426, 0.082)
Rh (0.323, 0.741, 0.397)
Rh (0.344, 0.241, 0.918)
Rh (0.344, 0.926, 0.603)

Entry 2:
Crystalline Sn6Ir3Rh at its relaxed geometry, computed with PBE.

Summary:
Energy relative to the lowest polymorph listed for this composition   0.00 kJ per mole of atoms
SG   P2_1/c
DOS(E_F)   4.32 states/eV/f.u.

abc: 7.133 6.529 10.768
angles: 90.00 123.31 90.00
Fractional coordinates of all 20 atoms:
Sn (0.079, 0.008, 0.269)
Sn (0.079, 0.492, 0.769)
Sn (0.255, 0.163, 0.595)
Sn (0.255, 0.337, 0.095)
Sn (0.396, 0.644, 0.566)
Sn (0.396, 0.856, 0.066)
Sn (0.604, 0.144, 0.934)
Sn (0.604, 0.356, 0.434)
Sn (0.745, 0.663, 0.905)
Sn (0.745, 0.837, 0.405)
Sn (0.921, 0.508, 0.231)
Sn (0.921, 0.992, 0.731)
Ir (0.000, 0.000, 0.000)
Ir (0.000, 0.500, 0.500)
Ir (0.294, 0.663, 0.268)
Ir (0.294, 0.837, 0.768)
Ir (0.706, 0.163, 0.232)
Ir (0.706, 0.337, 0.732)
Rh (0.500, 0.000, 0.500)
Rh (0.500, 0.500, 0.000)

no.,uncorrected energy (eV for the cell shown),M_tot (μB/f.u.)
1,-109.5,0.00
2,-120.2,0.00